# 1
Material: YHo9Tm2
Method: DFT, PBE
State: relaxed

a b c (Å): 4.9824 4.9824 14.9474
angles (deg): 90.00 90.00 90.00
Closest atoms and distances in Å follow each position.
Fractional coordinates of all 12 atoms:
Y1 0.0000 0.0000 0.0000  12 Ho 3.52-3.54
Ho1 0.0000 0.5000 0.1681  2 Tm 3.51, 8 Ho 3.52-3.54, 2 Y 3.54
Ho2 0.0000 0.5000 0.5000  8 Ho 3.52, 4 Tm 3.52
Ho3 0.0000 0.5000 0.8319  2 Tm 3.51, 8 Ho 3.52-3.54, 2 Y 3.54
Ho4 0.5000 0.0000 0.1681  2 Tm 3.51, 8 Ho 3.52-3.54, 2 Y 3.54
Ho5 0.5000 0.0000 0.5000  8 Ho 3.52, 4 Tm 3.52
Ho6 0.5000 0.0000 0.8319  2 Tm 3.51, 8 Ho 3.52-3.54, 2 Y 3.54
Ho7 0.5000 0.5000 0.0000  4 Y 3.52, 8 Ho 3.54
Ho8 0.5000 0.5000 0.3341  8 Ho 3.52, 4 Tm 3.52
Ho9 0.5000 0.5000 0.6659  8 Ho 3.52, 4 Tm 3.52
Tm1 0.0000 0.0000 0.3339  12 Ho 3.51-3.52
Tm2 0.0000 0.0000 0.6661  12 Ho 3.51-3.52

Summary:
Total moment (μB per formula unit): 0.000
E (eV for the cell shown): -56.3
Space-group type: P4/mmm, No. 123
Formation enthalpy at 0 K (eV per atom): 0.02

# 2
Material: FeMoP3
Method: DFT, PBE
State: relaxed

a b c (Å): 4.6693 4.6693 4.6693
angles (deg): 90.00 90.00 90.00
Closest atoms and distances in Å follow each position.
Fractional coordinates of all 5 atoms:
Fe1 0.0000 0.0000 0.0000  12 P 3.30
Mo1 0.5000 0.5000 0.5000  6 P 2.33
P1 0.0000 0.5000 0.5000  2 Mo 2.33
P2 0.5000 0.0000 0.5000  2 Mo 2.33
P3 0.5000 0.5000 0.0000  2 Mo 2.33

Summary:
Total moment (μB per formula unit): 3.076
E (eV for the cell shown): -31.0
Space-group type: Pm-3m, No. 221
Formation enthalpy at 0 K (eV per atom): 0.90

# 3
Material: GdNpSn2
Method: DFT, PBE
State: relaxed

a b c (Å): 3.3852 3.3852 9.1225
angles (deg): 90.00 90.00 90.00
Closest atoms and distances in Å follow each position.
Fractional coordinates of all 4 atoms:
Gd1 0.0000 0.0000 0.0000  8 Sn 3.32, 4 Gd 3.39
Np1 0.0000 0.0000 0.5000  8 Sn 3.30, 4 Np 3.39
Sn1 0.5000 0.5000 0.2515  4 Np 3.30, 4 Gd 3.32, 4 Sn 3.39
Sn2 0.5000 0.5000 0.7485  4 Np 3.30, 4 Gd 3.32, 4 Sn 3.39

Summary:
Total moment (μB per formula unit): 2.949
E (eV for the cell shown): -36.4
Space-group type: P4/mmm, No. 123
Formation enthalpy at 0 K (eV per atom): -0.36

# 4
Material: LaErNi
Method: DFT, PBE
State: relaxed

a b c (Å): 5.4716 4.6111 6.5609
angles (deg): 90.00 104.03 90.00
Closest atoms and distances in Å follow each position.
Fractional coordinates of all 6 atoms:
La1 0.0833 0.2500 0.2824  4 Ni 2.91-3.11
La2 0.9167 0.7500 0.7176  4 Ni 2.91-3.11
Er1 0.4478 0.2500 0.7997  3 Ni 2.74-2.78
Er2 0.5522 0.7500 0.2003  3 Ni 2.74-2.78
Ni1 0.3717 0.7500 0.5558  3 Er 2.74-2.78, 2 Ni 2.88, 2 La 2.91-2.93
Ni2 0.6283 0.2500 0.4442  3 Er 2.74-2.78, 2 Ni 2.88, 2 La 2.91-2.93

Summary:
Total moment (μB per formula unit): 0.000
E (eV for the cell shown): -31.9
Space-group type: P2_1/m, No. 11
Formation enthalpy at 0 K (eV per atom): -0.22

# 5
Material: YGe3B
Method: DFT, PBE
State: relaxed

a b c (Å): 5.3975 5.3975 5.3975
angles (deg): 90.00 90.00 90.00
Closest atoms and distances in Å follow each position.
Fractional coordinates of all 5 atoms:
Y1 0.0000 0.0000 0.0000  6 Ge 2.70
Ge1 0.0000 0.0000 0.5000  2 Y 2.70
Ge2 0.0000 0.5000 0.0000  2 Y 2.70
Ge3 0.5000 0.0000 0.0000  2 Y 2.70
B1 0.5000 0.5000 0.5000  12 Ge 3.82

Summary:
Total moment (μB per formula unit): 0.000
E (eV for the cell shown): -18.9
Space-group type: Pm-3m, No. 221
Formation enthalpy at 0 K (eV per atom): 1.62

# 6
Material: Ho4BeSe2S
Method: DFT, PBE
State: relaxed

a b c (Å): 6.9536 3.8974 7.0290
angles (deg): 90.00 108.32 90.00
Closest atoms and distances in Å follow each position.
Fractional coordinates of all 8 atoms:
Ho1 0.2375 0.0000 0.2320  2 Be 2.74, 1 S 2.80, 3 Se 2.87-2.92
Ho2 0.2489 0.5000 0.7694  1 Be 2.72, 2 S 2.77, 3 Se 2.88-2.95
Ho3 0.7511 0.5000 0.2306  1 Be 2.72, 2 S 2.77, 3 Se 2.88-2.95
Ho4 0.7625 0.0000 0.7680  2 Be 2.74, 1 S 2.80, 3 Se 2.87-2.92
Be1 0.0000 0.5000 0.0000  6 Ho 2.72-2.74
Se1 0.0000 0.0000 0.5000  6 Ho 2.87-2.88
Se2 0.5000 0.5000 0.5000  6 Ho 2.92-2.95
S1 0.5000 0.0000 0.0000  6 Ho 2.77-2.80

Summary:
Total moment (μB per formula unit): 0.000
E (eV for the cell shown): -44.1
Space-group type: P2/m, No. 10
E_form (uncorrected) (kJ/mol of formula units): -1056

# 7
Material: Ho6Cd2Au
Method: DFT, PBE
State: relaxed

a b c (Å): 6.1805 9.1279 10.3362
angles (deg): 90.00 119.22 90.00
Closest atoms and distances in Å follow each position.
Fractional coordinates of all 18 atoms:
Ho1 0.0528 0.1770 0.4569  3 Cd 2.95-3.28, 1 Au 3.02
Ho2 0.0528 0.3230 0.9569  3 Cd 2.95-3.28, 1 Au 3.02
Ho3 0.3570 0.6784 0.4450  1 Au 3.01, 3 Cd 3.16-3.37
Ho4 0.3570 0.8216 0.9450  1 Au 3.01, 3 Cd 3.16-3.37
Ho5 0.4078 0.0317 0.2993  1 Au 2.90
Ho6 0.4078 0.4683 0.7993  1 Au 2.90
Ho7 0.5922 0.5317 0.2007  1 Au 2.90
Ho8 0.5922 0.9683 0.7007  1 Au 2.90
Ho9 0.6430 0.1784 0.0550  1 Au 3.01, 3 Cd 3.16-3.37
Ho10 0.6430 0.3216 0.5550  1 Au 3.01, 3 Cd 3.16-3.37
Ho11 0.9472 0.6770 0.0431  3 Cd 2.95-3.28, 1 Au 3.02
Ho12 0.9472 0.8230 0.5431  3 Cd 2.95-3.28, 1 Au 3.02
Cd1 0.1439 0.1119 0.7593  5 Ho 2.95-3.28, 1 Au 3.19
Cd2 0.1439 0.3881 0.2593  5 Ho 2.95-3.28, 1 Au 3.19
Cd3 0.8561 0.6119 0.7407  5 Ho 2.95-3.28, 1 Au 3.19
Cd4 0.8561 0.8881 0.2407  5 Ho 2.95-3.28, 1 Au 3.19
Au1 0.0000 0.0000 0.0000  6 Ho 2.90-3.02, 2 Cd 3.19
Au2 0.0000 0.5000 0.5000  6 Ho 2.90-3.02, 2 Cd 3.19

Summary:
Total moment (μB per formula unit): 0.001
E (eV for the cell shown): -68.8
Space-group type: P2_1/c, No. 14
Formation enthalpy at 0 K (eV per atom): -0.20

# 8
Material: Nd3Mg3Cd2
Method: DFT, PBE
State: relaxed

a b c (Å): 9.4161 9.4161 9.4161
angles (deg): 32.86 32.86 32.86
Closest atoms and distances in Å follow each position.
Fractional coordinates of all 8 atoms:
Nd1 0.0000 0.0000 0.0000  4 Mg 3.20-3.29, 4 Cd 3.24-3.53
Nd2 0.2448 0.2448 0.2448  4 Cd 3.29-3.37, 4 Mg 3.30-3.34
Nd3 0.4917 0.4917 0.4917  4 Cd 3.22-3.28, 4 Mg 3.24-3.50
Mg1 0.1197 0.1197 0.1197  5 Nd 3.20-3.34, 3 Mg 3.25
Mg2 0.6229 0.6229 0.6229  7 Nd 3.29-3.50, 1 Mg 3.30
Mg3 0.7466 0.7466 0.7466  4 Cd 3.24-3.27, 4 Mg 3.25-3.30
Cd1 0.3711 0.3711 0.3711  5 Nd 3.22-3.37, 3 Mg 3.27
Cd2 0.8679 0.8679 0.8679  1 Mg 3.24, 7 Nd 3.28-3.53

Summary:
Total moment (μB per formula unit): 0.003
E (eV for the cell shown): -22.4
Space-group type: R3m, No. 160
Formation enthalpy at 0 K (eV per atom): -0.19

# 9
Material: NdCuRh
Method: DFT, PBE
State: relaxed

a b c (Å): 5.3630 4.5017 10.0818
angles (deg): 90.00 90.00 90.00
Closest atoms and distances in Å follow each position.
Fractional coordinates of all 12 atoms:
Nd1 0.1324 0.2500 0.1312  4 Rh 2.81-3.14, 3 Cu 3.07-3.15
Nd2 0.3676 0.7500 0.6312  4 Rh 2.81-3.14, 3 Cu 3.07-3.15
Nd3 0.6324 0.2500 0.3688  4 Rh 2.81-3.14, 3 Cu 3.07-3.15
Nd4 0.8676 0.7500 0.8688  4 Rh 2.81-3.14, 3 Cu 3.07-3.15
Cu1 0.1742 0.7500 0.3365  3 Rh 2.56-2.66
Cu2 0.3258 0.2500 0.8365  3 Rh 2.56-2.66
Cu3 0.6742 0.7500 0.1635  3 Rh 2.56-2.66
Cu4 0.8258 0.2500 0.6635  3 Rh 2.56-2.66
Rh1 0.1311 0.2500 0.4550  3 Cu 2.56-2.66, 2 Rh 2.81, 2 Nd 2.81-2.83
Rh2 0.3689 0.7500 0.9550  3 Cu 2.56-2.66, 2 Rh 2.81, 2 Nd 2.81-2.83
Rh3 0.6311 0.2500 0.0450  3 Cu 2.56-2.66, 2 Rh 2.81, 2 Nd 2.81-2.83
Rh4 0.8689 0.7500 0.5450  3 Cu 2.56-2.66, 2 Rh 2.81, 2 Nd 2.81-2.83

Summary:
Total moment (μB per formula unit): 0.000
E (eV for the cell shown): -69.1
Space-group type: Pnma, No. 62
Formation enthalpy at 0 K (eV per atom): -0.36

# 10
Material: CoCuOs2
Method: DFT, PBE
State: relaxed

a b c (Å): 5.5432 5.5432 9.5309
angles (deg): 90.00 90.00 90.00
Closest atoms and distances in Å follow each position.
Fractional coordinates of all 16 atoms:
Co1 0.0000 0.0000 0.0000  4 Os 2.23
Co2 0.0000 0.5000 0.2500  4 Os 2.23
Co3 0.5000 0.0000 0.7500  4 Os 2.23
Co4 0.5000 0.5000 0.5000  4 Os 2.23
Cu1 0.0000 0.0000 0.5000  4 Os 2.36
Cu2 0.0000 0.5000 0.7500  4 Os 2.36
Cu3 0.5000 0.0000 0.2500  4 Os 2.36
Cu4 0.5000 0.5000 0.0000  4 Os 2.36
Os1 0.2294 0.2500 0.1250  2 Co 2.23, 2 Cu 2.36
Os2 0.2500 0.7294 0.3750  2 Co 2.23, 2 Cu 2.36
Os3 0.2500 0.7706 0.8750  2 Co 2.23, 2 Cu 2.36
Os4 0.2706 0.2500 0.6250  2 Co 2.23, 2 Cu 2.36
Os5 0.7294 0.7500 0.6250  2 Co 2.23, 2 Cu 2.36
Os6 0.7500 0.2294 0.8750  2 Co 2.23, 2 Cu 2.36
Os7 0.7500 0.2706 0.3750  2 Co 2.23, 2 Cu 2.36
Os8 0.7706 0.7500 0.1250  2 Co 2.23, 2 Cu 2.36

Summary:
Total moment (μB per formula unit): 0.000
E (eV for the cell shown): -106.2
Space-group type: I-42d, No. 122
Formation enthalpy at 0 K (eV per atom): 1.78

# 11
Material: SiTe2PbI
Method: DFT, PBE
State: relaxed

a b c (Å): 5.8805 5.8805 5.9840
angles (deg): 90.00 90.00 90.00
Closest atoms and distances in Å follow each position.
Fractional coordinates of all 5 atoms:
Si1 0.0000 0.0000 0.0000  4 I 4.16, 8 Te 4.19
Te1 0.0000 0.5000 0.5000  2 Pb 2.94
Te2 0.5000 0.0000 0.5000  2 Pb 2.94
Pb1 0.5000 0.5000 0.5000  4 Te 2.94, 2 I 2.99
I1 0.5000 0.5000 0.0000  2 Pb 2.99

Summary:
Total moment (μB per formula unit): 0.000
E (eV for the cell shown): -12.8
Space-group type: P4/mmm, No. 123
E_form (uncorrected) (kJ/mol of formula units): 398

# 12
Material: Y2HfTl2
Method: DFT, PBE
State: relaxed

a b c (Å): 7.7875 7.7875 4.4731
angles (deg): 90.00 90.00 90.00
Closest atoms and distances in Å follow each position.
Fractional coordinates of all 10 atoms:
Y1 0.1725 0.3275 0.0000  6 Tl 3.08-3.29
Y2 0.3275 0.8275 0.0000  6 Tl 3.08-3.29
Y3 0.6725 0.1725 0.0000  6 Tl 3.08-3.29
Y4 0.8275 0.6725 0.0000  6 Tl 3.08-3.29
Hf1 0.0000 0.0000 0.5000  4 Tl 3.03
Hf2 0.5000 0.5000 0.5000  4 Tl 3.03
Tl1 0.1353 0.6353 0.5000  1 Tl 2.98, 2 Hf 3.03, 6 Y 3.08-3.29
Tl2 0.3647 0.1353 0.5000  1 Tl 2.98, 2 Hf 3.03, 6 Y 3.08-3.29
Tl3 0.6353 0.8647 0.5000  1 Tl 2.98, 2 Hf 3.03, 6 Y 3.08-3.29
Tl4 0.8647 0.3647 0.5000  1 Tl 2.98, 2 Hf 3.03, 6 Y 3.08-3.29

Summary:
Total moment (μB per formula unit): 0.000
E (eV for the cell shown): -56.5
Space-group type: P4/mbm, No. 127
Formation enthalpy at 0 K (eV per atom): -0.13